DFT (PBE) results for crystalline Dy3AuC at its relaxed geometry.

Size of the total moment = 0.000 μB per atom
DOS at the Fermi energy = 0.992 states/eV/atom
Energy relative to the elements = -514 meV per atom
Energy relative to the lowest polymorph listed for this composition = 0.0 meV/atom

```
Dy3AuC
1.0
-2.727 -0.214 2.398
-5.496 -1.968 -6.427
2.761 -13.911 1.899
Dy Au C
12 4 4
Direct
0.750 0.193 0.309
0.250 0.677 0.973
0.250 0.006 0.101
0.250 0.506 0.399
0.250 0.177 0.527
0.750 0.494 0.601
0.250 0.307 0.809
0.750 0.994 0.899
0.750 0.323 0.027
0.750 0.693 0.191
0.750 0.823 0.473
0.250 0.807 0.691
0.250 0.905 0.313
0.750 0.095 0.687
0.750 0.595 0.813
0.250 0.405 0.187
0.250 0.662 0.547
0.750 0.338 0.453
0.750 0.838 0.047
0.250 0.162 0.953
```